1.
VASP calculation (GGA-PBE) on crystalline La2GeBr at its relaxed geometry.

Calculated values
**Total DFT energy (no corrections)**: -5.055 eV per atom
**Volume**: 27.290 A^3/atom
**Uncorrected formation energy**: -1.0186 eV/atom

Cell: 3.6713 3.6713 8.0987 Å, 90.00 90.00 90.00°
Closest atoms and distances in Å follow each position.
Atoms (fractional coordinates):
1 La 0.0000 0.0000 0.7738  4 Ge 3.18, 4 Br 3.41
2 La 0.0000 0.0000 0.2262  4 Ge 3.18, 4 Br 3.41
3 Ge 0.5000 0.5000 0.0000  8 La 3.18
4 Br 0.5000 0.5000 0.5000  8 La 3.41, 4 Br 3.67

2.
VASP calculation (GGA-PBE) on crystalline TaFePt2S at its relaxed geometry.

Calculated values
**Total DFT energy (no corrections)**: -6.853 eV per atom
**Volume**: 16.824 A^3/atom
**Uncorrected formation energy**: 0.4515 eV/atom

Cell: 4.5431 4.0756 4.5431 Å, 90.00 90.00 90.00°
Closest atoms and distances in Å follow each position.
Atoms (fractional coordinates):
1 S 0.0000 0.0000 0.0000  2 Fe 2.04, 4 Pt 2.27
2 Pt 0.0000 0.0000 0.5000  2 S 2.27
3 Fe 0.0000 0.5000 0.0000  2 S 2.04
4 Pt 0.5000 0.0000 0.0000  2 S 2.27
5 Ta 0.5000 0.5000 0.5000  8 Pt 3.05, 4 Fe 3.21

3.
VASP calculation (GGA-PBE) on crystalline LaNi at its relaxed geometry.

Calculated values
**Total DFT energy (no corrections)**: -5.532 eV per atom
**ΔH_f (0 K)**: -177 meV/atom
**Volume**: 22.869 A^3/atom

Cell: 6.5668 6.5668 6.5668 Å, 144.99 120.87 70.60°
Closest atoms and distances in Å follow each position.
Atoms (fractional coordinates):
1 Ni 0.9022 0.3842 0.5180  3 Ni 2.48-2.66, 1 La 2.73
2 La 0.7903 0.6803 0.1100  3 Ni 2.73-3.01
3 La 0.2624 0.0000 0.2624  5 Ni 2.82-2.86
4 La 0.4296 0.3197 0.1100  3 Ni 2.73-3.01
5 Ni 0.1339 0.6158 0.5180  3 Ni 2.48-2.66, 1 La 2.73
6 Ni 0.8209 0.0000 0.8209  4 Ni 2.66, 1 La 2.86

| no. | N(E_F) (states/eV/atom) |
| --- | --- |
| 1 | 0.95 |
| 2 | 1.14 |
| 3 | 1.02 |